Record 1
C2Se | PBE-GGA | relaxed

The space group is P6_3/mmc (No. 194) and the conventional cell measures 4.2323, 4.2323 and 4.1924 Å, with angles of 90.00, 90.00 and 120.00 degrees. The asymmetric unit holds C at (0.0000, 0.0000, 0.0000), C at (0.3333, 0.6667, 0.2500) and Se at (0.3333, 0.6667, 0.7500).

The calculation puts the uncorrected formation energy at 9.60 eV/f.u. The value obtained for the total magnetization is 0.000 μB/atom. For the calculated volume, the calculation gives 10.84 Å³/atom. The total energy comes out at -4.112 eV/atom. The crystal system is hexagonal.

Record 2
CSe | PBE-GGA | relaxed

The space group is P2_13 (No. 198) and the conventional cell measures 4.9329, 4.9329 and 4.9329 Å, with angles of 90.00, 90.00 and 90.00 degrees. The asymmetric unit holds C at (0.0837, 0.4163, 0.5837) and Se at (0.0424, 0.5424, 0.9576).

The calculation puts the uncorrected formation energy at 2.90 eV/f.u. The value obtained for the total magnetization is 0.000 μB/atom. For the calculated volume, the calculation gives 15.00 Å³/atom. The total energy comes out at -4.902 eV/atom. The crystal system is cubic.

Record 3
CSe3 | PBE-GGA | relaxed

The space group is P1 (No. 1) and the conventional cell measures 4.3869, 7.0521 and 8.6022 Å, with angles of 73.81, 78.23 and 72.83 degrees. The asymmetric unit holds C at (0.0000, 0.0000, 0.0000), C at (0.0374, 0.3284, 0.6872), Se at (0.1545, 0.8222, 0.8708), Se at (0.1818, 0.1268, 0.5830), Se at (0.1836, 0.3561, 0.2726), Se at (0.7131, 0.6179, 0.2742), Se at (0.8758, 0.9338, 0.2292) and Se at (0.9361, 0.2956, 0.9046).

The calculation puts the uncorrected formation energy at 2.45 eV/f.u. The value obtained for the total magnetization is 0.000 μB/atom. For the calculated volume, the calculation gives 30.25 Å³/atom. The total energy comes out at -4.307 eV/atom. The crystal system is triclinic.

Record 4
CSe3 | PBE-GGA | relaxed

The space group is Cc (No. 9) and the conventional cell measures 5.0343, 29.0924 and 4.1630 Å, with angles of 90.00, 93.89 and 90.00 degrees. The asymmetric unit holds C at (0.0000, 0.1587, 0.0000), Se at (0.1544, 0.1108, 0.1595), Se at (0.1932, 0.4793, 0.1052) and Se at (0.3440, 0.2934, 0.3418).

The calculation puts the uncorrected formation energy at 2.27 eV/f.u. The value obtained for the total magnetization is 0.000 μB/atom. For the calculated volume, the calculation gives 38.02 Å³/atom. The total energy comes out at -4.351 eV/atom. The crystal system is monoclinic.

Record 5
CSe | PBE-GGA | relaxed

The space group is P6/mmm (No. 191) and the conventional cell measures 5.9095, 5.9095 and 2.9417 Å, with angles of 90.00, 90.00 and 120.00 degrees. The asymmetric unit holds C at (0.0000, 0.0000, 0.0000), C at (0.3333, 0.6667, 0.5000) and Se at (0.0000, 0.5000, 0.0000).

The calculation puts the uncorrected formation energy at 4.94 eV/f.u. The value obtained for the total magnetization is 0.063 μB/atom. For the calculated volume, the calculation gives 14.83 Å³/atom. The total energy comes out at -3.883 eV/atom. The crystal system is hexagonal.

Record 6
C4Se | PBE-GGA | relaxed

The space group is P-3m1 (No. 164) and the conventional cell measures 2.9023, 2.9023 and 5.7080 Å, with angles of 90.00, 90.00 and 120.00 degrees. The asymmetric unit holds C at (0.3333, 0.6667, 0.1936), C at (0.3333, 0.6667, 0.4500) and Se at (0.0000, 0.0000, 0.0000).

The calculation puts the uncorrected formation energy at 7.63 eV/f.u. The value obtained for the total magnetization is 0.000 μB/atom. For the calculated volume, the calculation gives 8.33 Å³/atom. The total energy comes out at -6.550 eV/atom. The crystal system is trigonal.

Record 7
CSe | PBE-GGA | relaxed

The space group is P4/m (No. 83) and the conventional cell measures 10.3943, 10.3943 and 3.0201 Å, with angles of 90.00, 90.00 and 90.00 degrees. The asymmetric unit holds C at (0.0272, 0.3333, 0.0000), C at (0.2573, 0.7367, 0.5000), Se at (0.0744, 0.2159, 0.5000) and Se at (0.1737, 0.6476, 0.0000).

The calculation puts the uncorrected formation energy at 3.13 eV/f.u. The value obtained for the total magnetization is 0.000 μB/atom. For the calculated volume, the calculation gives 20.39 Å³/atom. The total energy comes out at -4.790 eV/atom. The crystal system is tetragonal.

Record 8
C4Se3 | PBE-GGA | relaxed

The space group is Pm-3m (No. 221) and the conventional cell measures 4.4422, 4.4422 and 4.4422 Å, with angles of 90.00, 90.00 and 90.00 degrees. The asymmetric unit holds C at (0.0000, 0.0000, 0.0000), C at (0.0000, 0.5000, 0.5000) and Se at (0.0000, 0.0000, 0.5000).

The calculation puts the uncorrected formation energy at 17.40 eV/f.u. The value obtained for the total magnetization is 0.091 μB/atom. For the calculated volume, the calculation gives 12.52 Å³/atom. The total energy comes out at -4.279 eV/atom. The crystal system is cubic.

> calculated volume of number 3 (CSe3)?

30.25 Å³/atom

> Look up the calculated volume of the seventh one.

20.39 Å³/atom

> The highest total energy belongs to which entry?

number 5

> What is the formula in the third record?

CSe3